VASP calculation (PBE+U) on crystalline Fe4O7F at its relaxed geometry.

**V**: 10.744 Å³ per atom
**Crystal system**: orthorhombic
**Raw total energy**: -6.128 eV per atom
**Energy above the lowest structure with this stoichiometry**: 0.9 kJ/mol of atoms

a b c (Å): 6.431 6.012 13.337
angles (deg): 90.00 90.00 90.00
Space group Amm2 (No. 38)
Asymmetric unit:
Fe: 0.000 0.000 0.000
Fe: 0.000 0.000 0.488
Fe: 0.000 0.246 0.250
Fe: 0.500 0.000 0.247
Fe: 0.500 0.000 0.739
Fe: 0.500 0.245 0.501
O: 0.000 0.000 0.154
O: 0.000 0.000 0.344
O: 0.000 0.000 0.839
O: 0.193 0.246 0.996
O: 0.307 0.246 0.746
O: 0.500 0.000 0.090
O: 0.500 0.000 0.404
O: 0.500 0.000 0.595
F: 0.000 0.000 0.645
F: 0.500 0.000 0.896